1.
## ZrSI (GGA-PBE)

Data for ZrSI after structural relaxation.

The value obtained for the total energy is -71.63 eV per cell.

It has space group Pmn2_1 (No. 31), with a = 3.901 Å, b = 6.755 Å, c = 13.674 Å, α = 90.00°, β = 90.00° and γ = 90.00°. Symmetry generates all atoms from Zr at (0.000, 0.028, 0.000), Zr at (0.000, 0.586, 0.481), S at (0.000, 0.317, 0.878), S at (0.000, 0.875, 0.603), I at (0.000, 0.193, 0.365) and I at (0.000, 0.636, 0.115).



2.
## ZrSI (GGA-PBE)

Data for ZrSI after structural relaxation.

The value obtained for the total energy is -70.97 eV per cell.

It has space group Pmn2_1 (No. 31), with a = 3.723 Å, b = 6.408 Å, c = 15.605 Å, α = 90.00°, β = 90.00° and γ = 90.00°. Symmetry generates all atoms from Zr at (0.000, 0.032, 0.000), Zr at (0.000, 0.468, 0.500), S at (0.000, 0.137, 0.591), S at (0.000, 0.799, 0.409), I at (0.000, 0.366, 0.131) and I at (0.000, 0.699, 0.868).



3.
## Zr2S3I (GGA-PBE)

Data for Zr2S3I after structural relaxation.

The value obtained for the total energy is -78.36 eV per cell.

It has space group Pmn2_1 (No. 31), with a = 3.700 Å, b = 6.426 Å, c = 13.603 Å, α = 90.00°, β = 90.00° and γ = 90.00°. Symmetry generates all atoms from Zr at (0.000, 0.014, 0.000), Zr at (0.000, 0.459, 0.499), S at (0.000, 0.139, 0.611), S at (0.000, 0.696, 0.890), S at (0.000, 0.799, 0.400) and I at (0.000, 0.364, 0.148).



4.
## ZrSI (GGA-PBE)

Data for ZrSI after structural relaxation.

The value obtained for the total energy is -70.47 eV per cell.

It has space group Cmc2_1 (No. 36), with a = 3.769 Å, b = 6.516 Å, c = 13.663 Å, α = 90.00°, β = 90.00° and γ = 90.00°. Symmetry generates all atoms from Zr at (0.000, 0.221, 0.000), S at (0.000, 0.113, 0.601) and I at (0.000, 0.446, 0.350).



5.
## SmTmSbI2 (GGA-PBE)

Data for SmTmSbI2 after structural relaxation.

The value obtained for the total energy is -22.67 eV per cell.

It has space group P3m1 (No. 156), with a = 4.3498 Å, b = 4.3498 Å, c = 11.2442 Å, α = 90.00°, β = 90.00° and γ = 120.00°. Symmetry generates all atoms from Sm at (0.0000, 0.0000, 0.0000), Tm at (0.3333, 0.6667, 0.3018), Sb at (0.6667, 0.3333, 0.1584), I at (0.0000, 0.0000, 0.4711) and I at (0.3333, 0.6667, 0.8217).



6.
## SmUSbI2 (GGA-PBE)

Data for SmUSbI2 after structural relaxation.

The value obtained for the total energy is -27.54 eV per cell.

It has space group P3m1 (No. 156), with a = 4.3149 Å, b = 4.3149 Å, c = 11.6728 Å, α = 90.00°, β = 90.00° and γ = 120.00°. Symmetry generates all atoms from Sm at (0.0000, 0.0000, 0.0000), U at (0.3333, 0.6667, 0.3081), Sb at (0.6667, 0.3333, 0.1545), I at (0.0000, 0.0000, 0.4794) and I at (0.3333, 0.6667, 0.8273).



7.
## SmYSbI2 (GGA-PBE)

Data for SmYSbI2 after structural relaxation.

The value obtained for the total energy is -24.90 eV per cell.

It has space group P3m1 (No. 156), with a = 4.3778 Å, b = 4.3778 Å, c = 11.3218 Å, α = 90.00°, β = 90.00° and γ = 120.00°. Symmetry generates all atoms from Sm at (0.0000, 0.0000, 0.0000), Y at (0.6667, 0.3333, 0.6976), Sb at (0.3333, 0.6667, 0.8443), I at (0.0000, 0.0000, 0.5268) and I at (0.6667, 0.3333, 0.1764).



8.
## TbSnSbI2 (GGA-PBE)

Data for TbSnSbI2 after structural relaxation.

The value obtained for the total energy is -19.73 eV per cell.

It has space group P3m1 (No. 156), with a = 4.4161 Å, b = 4.4161 Å, c = 11.5246 Å, α = 90.00°, β = 90.00° and γ = 120.00°. Symmetry generates all atoms from Tb at (0.0000, 0.0000, 0.0000), Sn at (0.3333, 0.6667, 0.3113), Sb at (0.6667, 0.3333, 0.1483), I at (0.0000, 0.0000, 0.4831) and I at (0.3333, 0.6667, 0.8329).



What did the sixth record say?
## SmUSbI2 (GGA-PBE)

Data for SmUSbI2 after structural relaxation.

The value obtained for the total energy is -27.54 eV per cell.

It has space group P3m1 (No. 156), with a = 4.3149 Å, b = 4.3149 Å, c = 11.6728 Å, α = 90.00°, β = 90.00° and γ = 120.00°. Symmetry generates all atoms from Sm at (0.0000, 0.0000, 0.0000), U at (0.3333, 0.6667, 0.3081), Sb at (0.6667, 0.3333, 0.1545), I at (0.0000, 0.0000, 0.4794) and I at (0.3333, 0.6667, 0.8273).